No. 1
Entry from the Alexandria database: a relaxed structure of InTeIr2 (PBE-GGA).

Properties
E in eV per formula unit: -22.14
ΔE_f (raw) in eV/f.u.: 1.5
Magnetic moment in Bohr magnetons per cell: 0.00

a = 6.630 Å, b = 6.630 Å, c = 6.630 Å
α = 90.00°, β = 90.00°, γ = 90.00°
Element x y z (fractional)
In (0.000, 0.000, 0.000)
In (0.000, 0.500, 0.500)
In (0.500, 0.000, 0.500)
In (0.500, 0.500, 0.000)
Te (0.000, 0.000, 0.500)
Te (0.000, 0.500, 0.000)
Te (0.500, 0.000, 0.000)
Te (0.500, 0.500, 0.500)
Ir (0.250, 0.250, 0.250)
Ir (0.250, 0.250, 0.750)
Ir (0.250, 0.750, 0.250)
Ir (0.250, 0.750, 0.750)
Ir (0.750, 0.250, 0.250)
Ir (0.750, 0.250, 0.750)
Ir (0.750, 0.750, 0.250)
Ir (0.750, 0.750, 0.750)

No. 2
Entry from the Alexandria database: a relaxed structure of InTeIr (PBE-GGA).

Properties
E in eV per formula unit: -13.83
ΔE_f (raw) in eV/f.u.: 0.9
Magnetic moment in Bohr magnetons per cell: 0.00

a = 4.735 Å, b = 4.735 Å, c = 3.243 Å
α = 90.00°, β = 90.00°, γ = 120.00°
Element x y z (fractional)
In (0.000, 0.000, 0.000)
Te (0.333, 0.667, 0.500)
Ir (0.667, 0.333, 0.500)

No. 3
Entry from the Alexandria database: a relaxed structure of In2TeIr2 (PBE-GGA).

Properties
E in eV per formula unit: -26.27
ΔE_f (raw) in eV/f.u.: 0.1
Magnetic moment in Bohr magnetons per cell: 0.00

a = 7.887 Å, b = 7.887 Å, c = 3.128 Å
α = 90.00°, β = 90.00°, γ = 90.00°
Element x y z (fractional)
In (0.138, 0.362, 0.000)
In (0.362, 0.862, 0.000)
In (0.638, 0.138, 0.000)
In (0.862, 0.638, 0.000)
Te (0.000, 0.000, 0.500)
Te (0.500, 0.500, 0.500)
Ir (0.160, 0.660, 0.500)
Ir (0.340, 0.160, 0.500)
Ir (0.660, 0.840, 0.500)
Ir (0.840, 0.340, 0.500)

No. 4
Entry from the Alexandria database: a relaxed structure of InTe2Ir (PBE-GGA).

Properties
E in eV per formula unit: -17.92
ΔE_f (raw) in eV/f.u.: 0.0
Magnetic moment in Bohr magnetons per cell: 0.00

a = 3.797 Å, b = 3.797 Å, c = 24.926 Å
α = 90.00°, β = 90.00°, γ = 120.00°
Element x y z (fractional)
In (0.000, 0.000, 0.000)
In (0.333, 0.667, 0.667)
In (0.667, 0.333, 0.333)
Te (0.000, 0.000, 0.251)
Te (0.000, 0.000, 0.464)
Te (0.333, 0.667, 0.131)
Te (0.333, 0.667, 0.917)
Te (0.667, 0.333, 0.584)
Te (0.667, 0.333, 0.798)
Ir (0.000, 0.000, 0.743)
Ir (0.333, 0.667, 0.410)
Ir (0.667, 0.333, 0.076)

No. 5
Entry from the Alexandria database: a relaxed structure of InTeIr2 (PBE-GGA).

Properties
E in eV per formula unit: -22.01
ΔE_f (raw) in eV/f.u.: 1.6
Magnetic moment in Bohr magnetons per cell: 0.00

a = 3.942 Å, b = 3.942 Å, c = 9.462 Å
α = 90.00°, β = 90.00°, γ = 90.00°
Element x y z (fractional)
In (0.000, 0.000, 0.000)
In (0.500, 0.500, 0.500)
Te (0.000, 0.500, 0.250)
Te (0.500, 0.000, 0.750)
Ir (0.000, 0.000, 0.500)
Ir (0.000, 0.500, 0.750)
Ir (0.500, 0.000, 0.250)
Ir (0.500, 0.500, 0.000)

No. 6
Entry from the Alexandria database: a relaxed structure of InTeIr2 (PBE-GGA).

Properties
E in eV per formula unit: -21.84
ΔE_f (raw) in eV/f.u.: 1.8
Magnetic moment in Bohr magnetons per cell: 0.00

a = 3.079 Å, b = 3.079 Å, c = 29.934 Å
α = 90.00°, β = 90.00°, γ = 120.00°
Element x y z (fractional)
In (0.000, 0.000, 0.000)
In (0.333, 0.667, 0.667)
In (0.667, 0.333, 0.333)
Te (0.000, 0.000, 0.788)
Te (0.333, 0.667, 0.454)
Te (0.667, 0.333, 0.121)
Ir (0.000, 0.000, 0.260)
Ir (0.000, 0.000, 0.522)
Ir (0.333, 0.667, 0.189)
Ir (0.333, 0.667, 0.927)
Ir (0.667, 0.333, 0.593)
Ir (0.667, 0.333, 0.855)

No. 7
Entry from the Alexandria database: a relaxed structure of InTeIr2 (PBE-GGA).

Properties
E in eV per formula unit: -21.56
ΔE_f (raw) in eV/f.u.: 2.0
Magnetic moment in Bohr magnetons per cell: 0.00

a = 3.072 Å, b = 5.261 Å, c = 9.258 Å
α = 90.00°, β = 90.00°, γ = 90.00°
Element x y z (fractional)
In (0.000, 0.000, 0.000)
In (0.500, 0.500, 0.000)
Te (0.000, 0.000, 0.500)
Te (0.500, 0.500, 0.500)
Ir (0.000, 0.500, 0.241)
Ir (0.000, 0.500, 0.759)
Ir (0.500, 0.000, 0.241)
Ir (0.500, 0.000, 0.759)

No. 8
Entry from the Alexandria database: a relaxed structure of InTe2Ir (PBE-GGA).

Properties
E in eV per formula unit: -17.28
ΔE_f (raw) in eV/f.u.: 0.6
Magnetic moment in Bohr magnetons per cell: 0.00

a = 3.146 Å, b = 3.452 Å, c = 9.216 Å
α = 90.00°, β = 90.00°, γ = 90.00°
Element x y z (fractional)
In (0.000, 0.000, 0.000)
Te (0.000, 0.000, 0.375)
Te (0.500, 0.500, 0.727)
Ir (0.500, 0.500, 0.225)

No. 9
Entry from the Alexandria database: a relaxed structure of InTeIr2 (PBE-GGA).

Properties
E in eV per formula unit: -22.79
ΔE_f (raw) in eV/f.u.: 0.8
Magnetic moment in Bohr magnetons per cell: 0.00

a = 3.717 Å, b = 3.717 Å, c = 5.499 Å
α = 90.00°, β = 90.00°, γ = 90.00°
Element x y z (fractional)
In (0.000, 0.000, 0.000)
Te (0.500, 0.500, 0.630)
Ir (0.000, 0.000, 0.496)
Ir (0.500, 0.500, 0.149)

No. 10
Entry from the Alexandria database: a relaxed structure of InTeIr2 (PBE-GGA).

Properties
E in eV per formula unit: -22.71
ΔE_f (raw) in eV/f.u.: 0.9
Magnetic moment in Bohr magnetons per cell: 0.00

a = 3.217 Å, b = 5.007 Å, c = 4.638 Å
α = 90.00°, β = 90.00°, γ = 90.00°
Element x y z (fractional)
In (0.000, 0.000, 0.000)
Te (0.500, 0.500, 0.281)
Ir (0.000, 0.500, 0.742)
Ir (0.500, 0.000, 0.504)

No. 11
Entry from the Alexandria database: a relaxed structure of InTe2Ir (PBE-GGA).

Properties
E in eV per formula unit: -18.25
ΔE_f (raw) in eV/f.u.: -0.4
Magnetic moment in Bohr magnetons per cell: 0.00

a = 3.996 Å, b = 3.996 Å, c = 27.374 Å
α = 90.00°, β = 90.00°, γ = 120.00°
Element x y z (fractional)
In (0.000, 0.000, 0.000)
In (0.333, 0.667, 0.667)
In (0.667, 0.333, 0.333)
Te (0.000, 0.000, 0.118)
Te (0.000, 0.000, 0.882)
Te (0.333, 0.667, 0.549)
Te (0.333, 0.667, 0.785)
Te (0.667, 0.333, 0.215)
Te (0.667, 0.333, 0.451)
Ir (0.000, 0.000, 0.500)
Ir (0.333, 0.667, 0.167)
Ir (0.667, 0.333, 0.833)

No. 12
Entry from the Alexandria database: a relaxed structure of InTe2Ir (PBE-GGA).

Properties
E in eV per formula unit: -15.68
ΔE_f (raw) in eV/f.u.: 2.2
Magnetic moment in Bohr magnetons per cell: 0.00

a = 3.363 Å, b = 4.979 Å, c = 5.445 Å
α = 90.00°, β = 90.00°, γ = 90.00°
Element x y z (fractional)
In (0.000, 0.000, 0.000)
Te (0.000, 0.500, 0.500)
Te (0.500, 0.500, 0.000)
Ir (0.500, 0.000, 0.500)

No. 13
Entry from the Alexandria database: a relaxed structure of InTeIr2 (PBE-GGA).

Properties
E in eV per formula unit: -22.52
ΔE_f (raw) in eV/f.u.: 1.1
Magnetic moment in Bohr magnetons per cell: 0.00

a = 10.061 Å, b = 3.096 Å, c = 4.866 Å
α = 90.00°, β = 101.71°, γ = 90.00°
Element x y z (fractional)
In (0.000, 0.000, 0.000)
In (0.500, 0.500, 0.000)
Te (0.224, 0.000, 0.623)
Te (0.724, 0.500, 0.623)
Ir (0.249, 0.500, 0.184)
Ir (0.487, 0.000, 0.487)
Ir (0.749, 0.000, 0.184)
Ir (0.987, 0.500, 0.487)

No. 14
Entry from the Alexandria database: a relaxed structure of InTeIr2 (PBE-GGA).

Properties
E in eV per formula unit: -21.53
ΔE_f (raw) in eV/f.u.: 2.1
Magnetic moment in Bohr magnetons per cell: 0.00

a = 5.883 Å, b = 5.883 Å, c = 12.258 Å
α = 90.00°, β = 90.00°, γ = 90.00°
Element x y z (fractional)
In (0.000, 0.000, 0.000)
In (0.000, 0.500, 0.250)
In (0.500, 0.000, 0.750)
In (0.500, 0.500, 0.500)
Te (0.000, 0.000, 0.500)
Te (0.000, 0.500, 0.750)
Te (0.500, 0.000, 0.250)
Te (0.500, 0.500, 0.000)
Ir (0.231, 0.250, 0.625)
Ir (0.250, 0.731, 0.875)
Ir (0.250, 0.769, 0.375)
Ir (0.269, 0.250, 0.125)
Ir (0.731, 0.750, 0.125)
Ir (0.750, 0.231, 0.375)
Ir (0.750, 0.269, 0.875)
Ir (0.769, 0.750, 0.625)

No. 15
Entry from the Alexandria database: a relaxed structure of InTeIr2 (PBE-GGA).

Properties
E in eV per formula unit: -22.58
ΔE_f (raw) in eV/f.u.: 1.0
Magnetic moment in Bohr magnetons per cell: 0.00

a = 3.095 Å, b = 4.264 Å, c = 11.967 Å
α = 90.00°, β = 90.00°, γ = 90.00°
Element x y z (fractional)
In (0.000, 0.000, 0.000)
In (0.500, 0.500, 0.500)
Te (0.000, 0.500, 0.244)
Te (0.500, 0.000, 0.744)
Ir (0.000, 0.000, 0.556)
Ir (0.000, 0.500, 0.849)
Ir (0.500, 0.000, 0.349)
Ir (0.500, 0.500, 0.056)